LiAcTbIn after structural relaxation, computed with PBE.

Properties
The total energy is -0.2614 Ry/atom. The calculation puts the density of states at the Fermi level at 0.938 states/eV/atom. As for the symmetry: F-43m, No. 216. The energy of formation is -0.2083 eV/atom.

Lattice parameters (Å, degrees): 5.5473 5.5473 5.5473 60.00 60.00 60.00
Element x y z (fractional)
Ac1 0.2500 0.2500 0.2500
Li1 0.0000 0.0000 0.0000
Tb1 0.7500 0.7500 0.7500
In1 0.5000 0.5000 0.5000